Density functional theory data (GGA-PBEsol) for TlIn2Ga after structural relaxation.

DOS at the Fermi energy, states/eV/atom: 0.476
Energy relative to the elements, kJ/mol of atoms: 6.6
E above lowest polymorph, eV per formula unit: 0.00
Final energy, eV for the cell shown: -46.65

The structure in CIF format:
```
data_TlIn2Ga
_cell_length_a 7.319
_cell_length_b 7.319
_cell_length_c 7.319
_cell_angle_alpha 90.00
_cell_angle_beta 90.00
_cell_angle_gamma 90.00
_space_group_name_H-M_alt 'F m -3 m'
_space_group_IT_number 225
_space_group_name_Hall '-F 4 2 3'
loop_
_atom_site_label
_atom_site_type_symbol
_atom_site_fract_x
_atom_site_fract_y
_atom_site_fract_z
_atom_site_occupancy
Tl1 Tl 0.000 0.000 0.000 1
In1 In 0.250 0.250 0.250 1
Ga1 Ga 0.000 0.000 0.500 1
```

Density functional theory data (GGA-PBEsol) for LiCdRh after structural relaxation.

DOS at the Fermi energy, states/eV/atom: 0.837
Energy relative to the elements, kJ/mol of atoms: -10.3
Final energy, eV for the cell shown: -11.62

The structure in CIF format:
```
data_LiCdRh
_cell_length_a 4.3366
_cell_length_b 4.3366
_cell_length_c 2.7653
_cell_angle_alpha 90.00
_cell_angle_beta 90.00
_cell_angle_gamma 120.00
_space_group_name_H-M_alt 'P 3 m 1'
_space_group_IT_number 156
loop_
_space_group_symop_operation_xyz
'x,y,z'
'-y,x-y,z'
'-x+y,-x,z'
'-y,-x,z'
'-x+y,y,z'
'x,x-y,z'
loop_
_atom_site_label
_atom_site_type_symbol
_atom_site_fract_x
_atom_site_fract_y
_atom_site_fract_z
_atom_site_occupancy
Li1 Li 0.0000 0.0000 0.0000 1
Cd1 Cd 0.6667 0.3333 0.3383 1
Rh1 Rh 0.3333 0.6667 0.7854 1
```

Density functional theory data (GGA-PBEsol) for Hf3N2O3 after structural relaxation.

Formation energy without anion corrections, kJ/mol of atoms: -270
DOS at the Fermi energy, states/eV/atom: 0.000
E above lowest polymorph, eV per formula unit: 0.29
Final energy, eV for the cell shown: -346.69

The structure in CIF format:
```
data_Hf3N2O3
_cell_length_a 10.500
_cell_length_b 3.970
_cell_length_c 10.519
_cell_angle_alpha 90.00
_cell_angle_beta 90.65
_cell_angle_gamma 90.00
_space_group_name_H-M_alt 'C 1 m 1'
_space_group_IT_number 8
loop_
_space_group_symop_operation_xyz
'x,y,z'
'x,-y,z'
'x+1/2,y+1/2,z'
'x+1/2,-y+1/2,z'
loop_
_atom_site_label
_atom_site_type_symbol
_atom_site_fract_x
_atom_site_fract_y
_atom_site_fract_z
_atom_site_occupancy
Hf1 Hf 0.000 0.000 0.000 1
Hf2 Hf 0.006 0.000 0.385 1
Hf3 Hf 0.280 0.000 0.500 1
Hf4 Hf 0.288 0.000 0.885 1
Hf5 Hf 0.328 0.000 0.193 1
Hf6 Hf 0.451 0.500 0.694 1
N1 N 0.189 0.000 0.328 1
N2 N 0.344 0.500 0.864 1
N3 N 0.347 0.500 0.519 1
N4 N 0.443 0.000 0.023 1
O1 O 0.099 0.000 0.829 1
O2 O 0.101 0.000 0.565 1
O3 O 0.188 0.000 0.057 1
O4 O 0.391 0.000 0.696 1
O5 O 0.398 0.500 0.201 1
O6 O 0.453 0.000 0.364 1
```

Density functional theory data (GGA-PBEsol) for BaLi2Ag after structural relaxation.

DOS at the Fermi energy, states/eV/atom: 0.638
Energy relative to the elements, kJ/mol of atoms: -4.4
E above lowest polymorph, eV per formula unit: 0.23
Final energy, eV for the cell shown: -9.58

The structure in CIF format:
```
data_BaLi2Ag
_cell_length_a 4.025
_cell_length_b 4.395
_cell_length_c 6.768
_cell_angle_alpha 90.00
_cell_angle_beta 106.96
_cell_angle_gamma 90.00
_space_group_name_H-M_alt 'P 1 m 1'
_space_group_IT_number 6
loop_
_space_group_symop_operation_xyz
'x,y,z'
'x,-y,z'
loop_
_atom_site_label
_atom_site_type_symbol
_atom_site_fract_x
_atom_site_fract_y
_atom_site_fract_z
_atom_site_occupancy
Ba1 Ba 0.000 0.000 0.000 1
Li1 Li 0.270 0.000 0.529 1
Li2 Li 0.731 0.500 0.454 1
Ag1 Ag 0.379 0.500 0.755 1
```

Density functional theory data (GGA-PBEsol) for Sc2HS after structural relaxation.

DOS at the Fermi energy, states/eV/atom: 0.893
Final energy, eV for the cell shown: -67.64

The structure in CIF format:
```
data_Sc2HS
_cell_length_a 3.4756
_cell_length_b 3.4756
_cell_length_c 21.1879
_cell_angle_alpha 90.00
_cell_angle_beta 90.00
_cell_angle_gamma 120.00
_space_group_name_H-M_alt 'R -3 m'
_space_group_IT_number 166
_space_group_name_Hall '-R 3 2"'
loop_
_atom_site_label
_atom_site_type_symbol
_atom_site_fract_x
_atom_site_fract_y
_atom_site_fract_z
_atom_site_occupancy
Sc1 Sc 0.0000 0.0000 0.1093 1
H1 H 0.0000 0.0000 0.5000 1
S1 S 0.0000 0.0000 0.0000 1
```

Density functional theory data (GGA-PBEsol) for VCrGeC after structural relaxation.

DOS at the Fermi energy, states/eV/atom: 0.733
Energy relative to the elements, kJ/mol of atoms: -34.9
Final energy, eV for the cell shown: -71.81

The structure in CIF format:
```
data_VCrGeC
_cell_length_a 2.9319
_cell_length_b 2.9319
_cell_length_c 12.0154
_cell_angle_alpha 90.00
_cell_angle_beta 90.00
_cell_angle_gamma 120.00
_space_group_name_H-M_alt 'P -3 m 1'
_space_group_IT_number 164
_space_group_name_Hall '-P 3 2"'
loop_
_atom_site_label
_atom_site_type_symbol
_atom_site_fract_x
_atom_site_fract_y
_atom_site_fract_z
_atom_site_occupancy
V1 V 0.3333 0.6667 0.0900 1
Cr1 Cr 0.3333 0.6667 0.4163 1
Ge1 Ge 0.3333 0.6667 0.7427 1
C1 C 0.0000 0.0000 0.0000 1
C2 C 0.0000 0.0000 0.5000 1
```